First-principles (PBE) data for LaAl2Re2B after structural relaxation, as listed in the Alexandria database.

```
data_LaAl2Re2B
_cell_length_a 4.280
_cell_length_b 4.280
_cell_length_c 5.727
_cell_angle_alpha 90.00
_cell_angle_beta 90.00
_cell_angle_gamma 90.00
_space_group_name_H-M_alt 'P 4/m m m'
_space_group_IT_number 123
_space_group_name_Hall '-P 4 2'
loop_
_atom_site_label
_atom_site_type_symbol
_atom_site_fract_x
_atom_site_fract_y
_atom_site_fract_z
La1 La 0.000 0.000 0.000
Al1 Al 0.500 0.500 0.237
Re1 Re 0.000 0.500 0.500
B1 B 0.000 0.000 0.500
```

Computed properties:
Calculated formation energy   -0.39 eV per atom
DOS(E_F)   2.85 states/eV/f.u.

First-principles (PBE) data for La2AlReB after structural relaxation, as listed in the Alexandria database.

```
data_La2AlReB
_cell_length_a 5.381
_cell_length_b 5.381
_cell_length_c 4.835
_cell_angle_alpha 90.00
_cell_angle_beta 90.00
_cell_angle_gamma 90.00
_space_group_name_H-M_alt 'P 4/m m m'
_space_group_IT_number 123
_space_group_name_Hall '-P 4 2'
loop_
_atom_site_label
_atom_site_type_symbol
_atom_site_fract_x
_atom_site_fract_y
_atom_site_fract_z
La1 La 0.000 0.500 0.000
Al1 Al 0.000 0.000 0.500
Re1 Re 0.000 0.000 0.000
B1 B 0.500 0.500 0.500
```

Computed properties:
Calculated formation energy   0.79 eV per atom
DOS(E_F)   4.44 states/eV/f.u.

First-principles (PBE) data for La2AlB2Rh5 after structural relaxation, as listed in the Alexandria database.

```
data_La2AlB2Rh5
_cell_length_a 9.782
_cell_length_b 9.782
_cell_length_c 3.227
_cell_angle_alpha 90.00
_cell_angle_beta 90.00
_cell_angle_gamma 90.00
_space_group_name_H-M_alt 'P 4/m b m'
_space_group_IT_number 127
_space_group_name_Hall '-P 4 2ab'
loop_
_atom_site_label
_atom_site_type_symbol
_atom_site_fract_x
_atom_site_fract_y
_atom_site_fract_z
La1 La 0.177 0.323 0.000
Al1 Al 0.000 0.000 0.000
B1 B 0.121 0.621 0.000
Rh1 Rh 0.000 0.500 0.500
Rh2 Rh 0.069 0.776 0.500
```

Computed properties:
Calculated formation energy   -0.70 eV per atom
DOS(E_F)   4.67 states/eV/f.u.

First-principles (PBE) data for La2AlB2Ru5 after structural relaxation, as listed in the Alexandria database.

```
data_La2AlB2Ru5
_cell_length_a 9.806
_cell_length_b 9.806
_cell_length_c 3.153
_cell_angle_alpha 90.00
_cell_angle_beta 90.00
_cell_angle_gamma 90.00
_space_group_name_H-M_alt 'P 4/m b m'
_space_group_IT_number 127
_space_group_name_Hall '-P 4 2ab'
loop_
_atom_site_label
_atom_site_type_symbol
_atom_site_fract_x
_atom_site_fract_y
_atom_site_fract_z
La1 La 0.177 0.323 0.000
Al1 Al 0.000 0.000 0.000
B1 B 0.122 0.622 0.000
Ru1 Ru 0.000 0.500 0.500
Ru2 Ru 0.069 0.779 0.500
```

Computed properties:
Calculated formation energy   -0.33 eV per atom
DOS(E_F)   9.51 states/eV/f.u.